Computed, not measured: a relaxed Li5Tl2Pd3 crystal at the PBE-GGA level of DFT.

D(E_F) in states/eV per cell: 6.3
Formation energy in eV/f.u.: -2.29

Cell: 5.409 8.641 8.641 Å, 98.15 71.76 71.76°
Element x y z (fractional)
Pd: 0.186 0.155 0.473
Pd: 0.750 0.000 0.000
Pd: 0.250 0.000 0.000
Pd: 0.686 0.473 0.155
Pd: 0.314 0.527 0.845
Pd: 0.814 0.845 0.527
Tl: 0.619 0.202 0.561
Tl: 0.119 0.561 0.202
Tl: 0.881 0.439 0.798
Tl: 0.381 0.798 0.439
Li: 0.511 0.239 0.239
Li: 0.989 0.761 0.761
Li: 0.083 0.074 0.759
Li: 0.489 0.761 0.761
Li: 0.917 0.926 0.241
Li: 0.750 0.500 0.500
Li: 0.583 0.759 0.074
Li: 0.417 0.241 0.926
Li: 0.011 0.239 0.239
Li: 0.250 0.500 0.500



Computed, not measured: a relaxed LiTl2Pd crystal at the PBE-GGA level of DFT.

D(E_F) in states/eV per cell: 0.7
Formation energy in eV/f.u.: -0.66

Cell: 4.663 4.663 5.601 Å, 65.40 65.40 60.00°
Element x y z (fractional)
Li: 0.490 0.490 0.530
Tl: 0.270 0.270 0.189
Tl: 0.062 0.062 0.814
Pd: 0.678 0.678 0.967



Computed, not measured: a relaxed Li4Tl3Pd crystal at the PBE-GGA level of DFT.

D(E_F) in states/eV per cell: 3.4
Distance to the lowest polymorph of the same formula in meV per atom: 84.0
Formation energy in eV/f.u.: -1.62

Cell: 4.498 3.288 11.196 Å, 91.21 101.59 90.00°
Element x y z (fractional)
Li: 0.595 0.512 0.189
Li: 0.282 0.332 0.564
Li: 0.405 0.488 0.811
Li: 0.718 0.668 0.436
Tl: 0.000 0.500 0.000
Tl: 0.153 0.052 0.306
Tl: 0.847 0.948 0.694
Pd: 0.500 0.000 0.000



Computed, not measured: a relaxed Li4TlPd5 crystal at the PBE-GGA level of DFT.

D(E_F) in states/eV per cell: 4.8
Formation energy in eV/f.u.: -1.72

Cell: 5.192 6.101 6.101 Å, 79.57 64.82 64.82°
Element x y z (fractional)
Pd: 0.014 0.601 0.272
Pd: 0.887 0.399 0.728
Pd: 0.615 0.272 0.399
Pd: 0.680 0.000 0.000
Pd: 0.286 0.728 0.601
Li: 0.596 0.609 0.128
Li: 0.725 0.872 0.609
Li: 0.333 0.391 0.872
Li: 0.205 0.128 0.391
Tl: 0.171 0.000 0.000



| no. | total DFT energy (no corrections) (eV per atom) |
| --- | --- |
| 1 | -3.22 |
| 2 | -3.12 |
| 3 | -2.70 |
| 4 | -3.77 |